No. 1
Here is an optimized crystal structure of Cd6In2Sn from Alexandria. Energies are from PBE.

CIF file:
```
data_Cd6In2Sn
_chemical_formula_sum 'Cd24 In8 Sn4'
_cell_length_a 11.040
_cell_length_b 11.114
_cell_length_c 8.720
_cell_angle_alpha 90.00
_cell_angle_beta 124.11
_cell_angle_gamma 90.00
_symmetry_space_group_name_H-M 'C 1 2/c 1'
_symmetry_Int_Tables_number 15
loop_
_symmetry_equiv_pos_as_xyz
'x,y,z'
'-x,-y,-z'
'-x,y,-z+1/2'
'x,-y,z+1/2'
'x+1/2,y+1/2,z'
'-x+1/2,-y+1/2,-z'
'-x+1/2,y+1/2,-z+1/2'
'x+1/2,-y+1/2,z+1/2'
loop_
_atom_site_label
_atom_site_type_symbol
_atom_site_fract_x
_atom_site_fract_y
_atom_site_fract_z
_atom_site_occupancy
Cd1 Cd 0.046 0.128 0.460 1
Cd2 Cd 0.117 0.373 0.204 1
Cd3 Cd 0.217 0.367 0.627 1
In1 In 0.167 0.117 0.914 1
Sn1 Sn 0.000 0.378 0.750 1
```

Computed properties:
Offset from the most stable computed form ... 0 meV/atom
Energy of formation ... 0.040 eV per atom
Magnetization ... 0.0 μB per formula unit


No. 2
Here is an optimized crystal structure of Pr8Zn3NiI4 from Alexandria. Energies are from PBE.

CIF file:
```
data_Pr8Zn3NiI4
_chemical_formula_sum 'Pr16 Zn6 Ni2 I8'
_cell_length_a 14.802
_cell_length_b 8.549
_cell_length_c 9.361
_cell_angle_alpha 90.00
_cell_angle_beta 121.80
_cell_angle_gamma 90.00
_symmetry_space_group_name_H-M 'C 1 2/m 1'
_symmetry_Int_Tables_number 12
loop_
_symmetry_equiv_pos_as_xyz
'x,y,z'
'-x,-y,-z'
'-x,y,-z'
'x,-y,z'
'x+1/2,y+1/2,z'
'-x+1/2,-y+1/2,-z'
'-x+1/2,y+1/2,-z'
'x+1/2,-y+1/2,z'
loop_
_atom_site_label
_atom_site_type_symbol
_atom_site_fract_x
_atom_site_fract_y
_atom_site_fract_z
_atom_site_occupancy
Pr1 Pr 0.011 0.237 0.295 1
Pr2 Pr 0.227 0.000 0.705 1
Pr3 Pr 0.242 0.500 0.727 1
Zn1 Zn 0.000 0.500 0.500 1
Zn2 Zn 0.250 0.250 0.500 1
Ni1 Ni 0.000 0.000 0.500 1
I1 I 0.000 0.000 0.000 1
I2 I 0.000 0.500 0.000 1
I3 I 0.250 0.250 0.000 1
```

Computed properties:
Formation energy without anion corrections ... -0.58 eV/atom
Magnetization ... 0.0 μB per formula unit


No. 3
Here is an optimized crystal structure of TcTe3 from Alexandria. Energies are from PBE.

CIF file:
```
data_TcTe3
_chemical_formula_sum 'Tc2 Te6'
_cell_length_a 7.613
_cell_length_b 3.300
_cell_length_c 8.621
_cell_angle_alpha 90.00
_cell_angle_beta 94.83
_cell_angle_gamma 90.00
_symmetry_space_group_name_H-M 'C 1 2/m 1'
_symmetry_Int_Tables_number 12
loop_
_symmetry_equiv_pos_as_xyz
'x,y,z'
'-x,-y,-z'
'-x,y,-z'
'x,-y,z'
'x+1/2,y+1/2,z'
'-x+1/2,-y+1/2,-z'
'-x+1/2,y+1/2,-z'
'x+1/2,-y+1/2,z'
loop_
_atom_site_label
_atom_site_type_symbol
_atom_site_fract_x
_atom_site_fract_y
_atom_site_fract_z
_atom_site_occupancy
Tc1 Tc 0.000 0.000 0.000 1
Te1 Te 0.000 0.500 0.500 1
Te2 Te 0.184 0.500 0.827 1
```

Computed properties:
Offset from the most stable computed form ... 73 meV/atom
Formation energy without anion corrections ... 0.10 eV/atom
Magnetization ... 0.0 μB per formula unit


No. 4
Here is an optimized crystal structure of Li2P2Pt3 from Alexandria. Energies are from PBE.

CIF file:
```
data_Li2P2Pt3
_chemical_formula_sum 'Li2 P2 Pt3'
_cell_length_a 3.940
_cell_length_b 5.369
_cell_length_c 6.496
_cell_angle_alpha 72.07
_cell_angle_beta 72.45
_cell_angle_gamma 89.44
_symmetry_space_group_name_H-M 'P -1'
_symmetry_Int_Tables_number 2
loop_
_symmetry_equiv_pos_as_xyz
'x,y,z'
'-x,-y,-z'
loop_
_atom_site_label
_atom_site_type_symbol
_atom_site_fract_x
_atom_site_fract_y
_atom_site_fract_z
_atom_site_occupancy
Li1 Li 0.145 0.454 0.225 1
P1 P 0.118 0.969 0.268 1
Pt1 Pt 0.312 0.177 0.871 1
Pt2 Pt 0.500 0.000 0.500 1
```

Computed properties:
Energy of formation ... -0.414 eV per atom
Magnetization ... 0.0 μB per formula unit